La3Nd5Er4: optimized geometry, PBE-GGA.

Values from the calculation:
magnetic moment	0.19	μB/cell
symmetry	C2/m
calculated volume	34.62	A^3/atom
energy relative to the elements	0.22	eV per atom
theoretical density	7.22	Mg/m³
VASP energy	-4.52	eV per atom

Unit cell a=8.7509 b=8.7509 c=9.3818 alpha=114.95 beta=114.95 gamma=40.34
Atoms (fractional coordinates):
La1 0.0000 0.0000 0.0000
La2 0.2946 0.2946 0.7815
La3 0.7054 0.7054 0.2185
Nd1 0.0766 0.0766 0.7003
Nd2 0.1734 0.1734 0.3932
Nd3 0.5000 0.5000 0.0000
Nd4 0.8266 0.8266 0.6068
Nd5 0.9234 0.9234 0.2997
Er1 0.2906 0.2906 0.1314
Er2 0.4206 0.4206 0.5627
Er3 0.5794 0.5794 0.4373
Er4 0.7094 0.7094 0.8686



LaNd2Er: optimized geometry, PBE-GGA.

Values from the calculation:
magnetic moment	0.00	μB/cell
symmetry	Cm
calculated volume	34.53	A^3/atom
energy relative to the elements	0.02	eV per atom
energy above the most stable polymorph in this dataset	6	meV/atom
theoretical density	7.15	Mg/m³
VASP energy	-4.73	eV per atom

Unit cell a=3.6541 b=3.6541 c=12.1342 alpha=98.68 beta=98.68 gamma=59.96
Atoms (fractional coordinates):
La1 0.0000 0.0000 0.0000
Nd1 0.2461 0.2461 0.7405
Nd2 0.4179 0.4179 0.2581
Er1 0.8333 0.8333 0.4996



La5NdEr: optimized geometry, PBE-GGA.

Values from the calculation:
magnetic moment	0.00	μB/cell
symmetry	C2/c
calculated volume	35.64	A^3/atom
energy relative to the elements	0.13	eV per atom
energy above the most stable polymorph in this dataset	0	meV/atom
theoretical density	6.70	Mg/m³
VASP energy	-4.72	eV per atom

Unit cell a=6.9016 b=6.9016 c=12.8127 alpha=107.60 beta=107.60 gamma=60.81
Atoms (fractional coordinates):
La1 0.0477 0.9523 0.7500
La2 0.1366 0.3918 0.7309
La3 0.2082 0.6457 0.5037
La4 0.3543 0.7918 0.9963
La5 0.3918 0.1366 0.2309
La6 0.6082 0.8634 0.7691
La7 0.6457 0.2082 0.0037
La8 0.7918 0.3543 0.4963
La9 0.8634 0.6082 0.2691
La10 0.9523 0.0477 0.2500
Nd1 0.0000 0.5000 0.0000
Nd2 0.5000 0.0000 0.5000
Er1 0.4022 0.5978 0.2500
Er2 0.5978 0.4022 0.7500



La2Nd6Er3: optimized geometry, PBE-GGA.

Values from the calculation:
magnetic moment	0.00	μB/cell
symmetry	C2/m
calculated volume	36.02	A^3/atom
energy relative to the elements	0.16	eV per atom
energy above the most stable polymorph in this dataset	0	meV/atom
theoretical density	6.89	Mg/m³
VASP energy	-4.58	eV per atom

Unit cell a=6.2443 b=6.2443 c=11.9276 alpha=95.06 beta=95.06 gamma=120.05
Atoms (fractional coordinates):
La1 0.1668 0.8332 0.0000
La2 0.8332 0.1668 0.0000
Nd1 0.0827 0.4152 0.7449
Nd2 0.2519 0.2519 0.2549
Nd3 0.4152 0.0827 0.7449
Nd4 0.5848 0.9173 0.2551
Nd5 0.7481 0.7481 0.7451
Nd6 0.9173 0.5848 0.2551
Er1 0.0000 0.0000 0.5000
Er2 0.3345 0.6655 0.5000
Er3 0.6655 0.3345 0.5000



La2NdEr7: optimized geometry, PBE-GGA.

Values from the calculation:
magnetic moment	0.00	μB/cell
symmetry	Cmmm
calculated volume	33.29	A^3/atom
energy relative to the elements	0.17	eV per atom
energy above the most stable polymorph in this dataset	99	meV/atom
theoretical density	7.94	Mg/m³
VASP energy	-4.49	eV per atom

Unit cell a=14.8447 b=14.8447 c=3.5142 alpha=90.00 beta=90.00 gamma=154.54
Atoms (fractional coordinates):
La1 0.2066 0.7934 0.0000
La2 0.7934 0.2066 0.0000
Nd1 0.5000 0.5000 0.5000
Er1 0.0000 0.0000 0.0000
Er2 0.1557 0.3521 0.0000
Er3 0.3161 0.6839 0.5000
Er4 0.3521 0.1557 0.0000
Er5 0.6479 0.8443 0.0000
Er6 0.6839 0.3161 0.5000
Er7 0.8443 0.6479 0.0000



LaNd2Er6: optimized geometry, PBE-GGA.

Values from the calculation:
magnetic moment	0.00	μB/cell
symmetry	P-3
calculated volume	32.44	A^3/atom
energy relative to the elements	0.07	eV per atom
energy above the most stable polymorph in this dataset	46	meV/atom
theoretical density	8.14	Mg/m³
VASP energy	-4.58	eV per atom

Unit cell a=9.7575 b=9.7575 c=3.5408 alpha=90.00 beta=90.00 gamma=120.00
Atoms (fractional coordinates):
La1 0.0000 0.0000 0.0000
Nd1 0.3333 0.6667 0.7633
Nd2 0.6667 0.3333 0.2367
Er1 0.0223 0.6693 0.2693
Er2 0.3307 0.3530 0.2693
Er3 0.3530 0.0223 0.7307
Er4 0.6470 0.9777 0.2693
Er5 0.6693 0.6470 0.7307
Er6 0.9777 0.3307 0.7307



La2NdEr2: optimized geometry, PBE-GGA.

Values from the calculation:
magnetic moment	0.00	μB/cell
symmetry	Immm
calculated volume	34.09	A^3/atom
energy relative to the elements	0.06	eV per atom
energy above the most stable polymorph in this dataset	0	meV/atom
theoretical density	7.37	Mg/m³
VASP energy	-4.69	eV per atom

Unit cell a=8.9373 b=8.9373 c=8.9373 alpha=156.90 beta=142.40 gamma=44.59
Atoms (fractional coordinates):
La1 0.2137 0.2137 0.0000
La2 0.7863 0.7863 0.0000
Nd1 0.0000 0.5000 0.5000
Er1 0.4020 0.9020 0.5000
Er2 0.5980 0.0980 0.5000



La2Nd5Er2: optimized geometry, PBE-GGA.

Values from the calculation:
magnetic moment	0.00	μB/cell
symmetry	C2/m
calculated volume	34.63	A^3/atom
energy relative to the elements	0.02	eV per atom
energy above the most stable polymorph in this dataset	0	meV/atom
theoretical density	7.11	Mg/m³
VASP energy	-4.74	eV per atom

Unit cell a=8.1815 b=8.1815 c=8.1646 alpha=107.41 beta=107.41 gamma=36.94
Atoms (fractional coordinates):
La1 0.1662 0.1662 0.4990
La2 0.8338 0.8338 0.5010
Nd1 0.0577 0.0577 0.8358
Nd2 0.3876 0.3876 0.8357
Nd3 0.5000 0.5000 0.5000
Nd4 0.6124 0.6124 0.1643
Nd5 0.9423 0.9423 0.1642
Er1 0.2773 0.2773 0.1626
Er2 0.7227 0.7227 0.8374



LaNdEr4: optimized geometry, PBE-GGA.

Values from the calculation:
magnetic moment	0.00	μB/cell
symmetry	C2/c
calculated volume	33.50	A^3/atom
energy relative to the elements	0.15	eV per atom
energy above the most stable polymorph in this dataset	117	meV/atom
theoretical density	7.87	Mg/m³
VASP energy	-4.51	eV per atom

Unit cell a=8.6211 b=8.6211 c=6.4845 alpha=99.59 beta=99.59 gamma=118.16
Atoms (fractional coordinates):
La1 0.0829 0.9171 0.7500
La2 0.9171 0.0829 0.2500
Nd1 0.4956 0.5044 0.2500
Nd2 0.5044 0.4956 0.7500
Er1 0.0673 0.3422 0.8807
Er2 0.2127 0.6023 0.4701
Er3 0.3422 0.0673 0.3807
Er4 0.3977 0.7873 0.0299
Er5 0.6023 0.2127 0.9701
Er6 0.6578 0.9327 0.6193
Er7 0.7873 0.3977 0.5299
Er8 0.9327 0.6578 0.1193



La5Nd8Er: optimized geometry, PBE-GGA.

Values from the calculation:
magnetic moment	0.01	μB/cell
symmetry	I-4
calculated volume	36.03	A^3/atom
energy relative to the elements	0.22	eV per atom
theoretical density	6.64	Mg/m³
VASP energy	-4.59	eV per atom

Unit cell a=8.6885 b=8.6885 c=8.6885 alpha=110.55 beta=110.55 gamma=107.33
Atoms (fractional coordinates):
La1 0.0000 0.0000 0.0000
La2 0.3133 0.2073 0.6793
La3 0.3660 0.6867 0.8940
La4 0.5280 0.6340 0.3207
La5 0.7927 0.4720 0.1060
Nd1 0.0231 0.7633 0.5992
Nd2 0.0625 0.3236 0.8957
Nd3 0.1641 0.4239 0.4008
Nd4 0.2367 0.8359 0.2598
Nd5 0.4279 0.1669 0.1043
Nd6 0.5761 0.9769 0.7402
Nd7 0.6764 0.5721 0.7389
Nd8 0.8331 0.9375 0.2611
Er1 0.7500 0.2500 0.5000



La5NdEr: optimized geometry, PBE-GGA.

Values from the calculation:
magnetic moment	0.00	μB/cell
symmetry	C2/c
calculated volume	36.19	A^3/atom
energy relative to the elements	0.15	eV per atom
energy above the most stable polymorph in this dataset	19	meV/atom
theoretical density	6.59	Mg/m³
VASP energy	-4.70	eV per atom

Unit cell a=9.4615 b=9.4615 c=9.2060 alpha=93.83 beta=93.83 gamma=141.12
Atoms (fractional coordinates):
La1 0.0173 0.3891 0.6481
La2 0.1415 0.8585 0.7500
La3 0.2421 0.5453 0.0343
La4 0.3891 0.0173 0.1481
La5 0.4547 0.7579 0.4657
La6 0.5453 0.2421 0.5343
La7 0.6109 0.9827 0.8519
La8 0.7579 0.4547 0.9657
La9 0.8585 0.1415 0.2500
La10 0.9827 0.6109 0.3519
Nd1 0.0000 0.0000 0.0000
Nd2 0.0000 0.0000 0.5000
Er1 0.4894 0.5106 0.7500
Er2 0.5106 0.4894 0.2500



La2Nd3Er3: optimized geometry, PBE-GGA.

Values from the calculation:
magnetic moment	0.00	μB/cell
symmetry	Immm
calculated volume	33.90	A^3/atom
energy relative to the elements	0.02	eV per atom
energy above the most stable polymorph in this dataset	0	meV/atom
theoretical density	7.42	Mg/m³
VASP energy	-4.71	eV per atom

Unit cell a=10.8735 b=10.8735 c=10.8735 alpha=152.73 beta=152.53 gamma=39.09
Atoms (fractional coordinates):
La1 0.2501 0.2501 0.0000
La2 0.7499 0.7499 0.0000
Nd1 0.0000 0.0000 0.0000
Nd2 0.3780 0.8780 0.5000
Nd3 0.6220 0.1220 0.5000
Er1 0.1225 0.6225 0.5000
Er2 0.5000 0.5000 0.0000
Er3 0.8775 0.3775 0.5000



LaNd2Er7: optimized geometry, PBE-GGA.

Values from the calculation:
magnetic moment	0.00	μB/cell
symmetry	Cmmm
calculated volume	39.16	A^3/atom
energy relative to the elements	0.68	eV per atom
energy above the most stable polymorph in this dataset	73	meV/atom
theoretical density	6.78	Mg/m³
VASP energy	-3.96	eV per atom

Unit cell a=9.4013 b=9.4013 c=5.4453 alpha=90.00 beta=90.00 gamma=125.55
Atoms (fractional coordinates):
La1 0.0000 0.0000 0.0000
Nd1 0.2976 0.7024 0.5000
Nd2 0.7024 0.2976 0.5000
Er1 0.0651 0.2891 0.5000
Er2 0.2086 0.7914 0.0000
Er3 0.2891 0.0651 0.5000
Er4 0.5000 0.5000 0.5000
Er5 0.7109 0.9349 0.5000
Er6 0.7914 0.2086 0.0000
Er7 0.9349 0.7109 0.5000



La6Nd4Er: optimized geometry, PBE-GGA.

Values from the calculation:
magnetic moment	0.00	μB/cell
symmetry	Cmcm
calculated volume	35.82	A^3/atom
energy relative to the elements	0.10	eV per atom
energy above the most stable polymorph in this dataset	0	meV/atom
theoretical density	6.65	Mg/m³
VASP energy	-4.74	eV per atom

Unit cell a=5.8033 b=5.8033 c=26.3208 alpha=90.00 beta=90.00 gamma=117.25
Atoms (fractional coordinates):
La1 0.0000 0.0000 0.0000
La2 0.0000 0.0000 0.5000
La3 0.0598 0.9402 0.7500
La4 0.2933 0.7067 0.1041
La5 0.2933 0.7067 0.3959
La6 0.3847 0.6153 0.6841
La7 0.3847 0.6153 0.8159
La8 0.6153 0.3847 0.1841
La9 0.6153 0.3847 0.3159
La10 0.7067 0.2933 0.6041
La11 0.7067 0.2933 0.8959
La12 0.9402 0.0598 0.2500
Nd1 0.0548 0.9452 0.6245
Nd2 0.0548 0.9452 0.8755
Nd3 0.3524 0.6476 0.5449
Nd4 0.3524 0.6476 0.9551
Nd5 0.6476 0.3524 0.0449
Nd6 0.6476 0.3524 0.4551
Nd7 0.9452 0.0548 0.1245
Nd8 0.9452 0.0548 0.3755
Er1 0.2815 0.7185 0.2500
Er2 0.7185 0.2815 0.7500



LaNdEr2: optimized geometry, PBE-GGA.

Values from the calculation:
magnetic moment	0.00	μB/cell
symmetry	Fm-3m
calculated volume	33.71	A^3/atom
energy relative to the elements	0.09	eV per atom
energy above the most stable polymorph in this dataset	76	meV/atom
theoretical density	7.61	Mg/m³
VASP energy	-4.61	eV per atom

Unit cell a=5.7556 b=5.7556 c=5.7556 alpha=60.00 beta=60.00 gamma=60.00
Atoms (fractional coordinates):
La1 0.0000 0.0000 0.0000
Nd1 0.5000 0.5000 0.5000
Er1 0.2500 0.2500 0.2500
Er2 0.7500 0.7500 0.7500



La2Nd2Er3: optimized geometry, PBE-GGA.

Values from the calculation:
magnetic moment	0.00	μB/cell
symmetry	P2_1/c
calculated volume	34.43	A^3/atom
energy relative to the elements	0.17	eV per atom
energy above the most stable polymorph in this dataset	49	meV/atom
theoretical density	7.36	Mg/m³
VASP energy	-4.55	eV per atom

Unit cell a=6.4049 b=11.8564 c=6.3962 alpha=90.00 beta=97.10 gamma=90.00
Atoms (fractional coordinates):
La1 0.0315 0.1514 0.4627
La2 0.0315 0.3486 0.9627
La3 0.9685 0.6514 0.0373
La4 0.9685 0.8486 0.5373
Nd1 0.4019 0.7194 0.7052
Nd2 0.4019 0.7806 0.2052
Nd3 0.5981 0.2194 0.7948
Nd4 0.5981 0.2806 0.2948
Er1 0.2432 0.0388 0.9617
Er2 0.2432 0.4612 0.4617
Er3 0.5000 0.0000 0.5000
Er4 0.5000 0.5000 0.0000
Er5 0.7568 0.5388 0.5383
Er6 0.7568 0.9612 0.0383



La6Nd2Er: optimized geometry, PBE-GGA.

Values from the calculation:
magnetic moment	0.00	μB/cell
symmetry	Cmmm
calculated volume	35.80	A^3/atom
energy relative to the elements	0.12	eV per atom
energy above the most stable polymorph in this dataset	59	meV/atom
theoretical density	6.64	Mg/m³
VASP energy	-4.74	eV per atom

Unit cell a=10.2531 b=10.2531 c=3.7065 alpha=90.00 beta=90.00 gamma=124.22
Atoms (fractional coordinates):
La1 0.0073 0.3358 0.0000
La2 0.1808 0.1808 0.5000
La3 0.3358 0.0073 0.0000
La4 0.6642 0.9927 0.0000
La5 0.8192 0.8192 0.5000
La6 0.9927 0.6642 0.0000
Nd1 0.3284 0.6716 0.5000
Nd2 0.6716 0.3284 0.5000
Er1 0.5000 0.5000 0.0000



La3Nd4Er5: optimized geometry, PBE-GGA.

Values from the calculation:
magnetic moment	0.00	μB/cell
symmetry	P-1
calculated volume	33.70	A^3/atom
energy relative to the elements	0.02	eV per atom
energy above the most stable polymorph in this dataset	0	meV/atom
theoretical density	7.51	Mg/m³
VASP energy	-4.70	eV per atom

Unit cell a=6.2756 b=7.2436 c=8.8973 alpha=89.82 beta=89.96 gamma=89.96
Atoms (fractional coordinates):
La1 0.0000 0.0000 0.0000
La2 0.1693 0.2495 0.3317
La3 0.8307 0.7505 0.6683
Nd1 0.1706 0.7512 0.3323
Nd2 0.3302 0.4997 0.6709
Nd3 0.6698 0.5003 0.3291
Nd4 0.8294 0.2488 0.6677
Er1 0.0000 0.5000 0.0000
Er2 0.3352 0.0002 0.6704
Er3 0.4982 0.7501 0.0004
Er4 0.5018 0.2499 0.9996
Er5 0.6648 0.9998 0.3296



La6NdEr: optimized geometry, PBE-GGA.

Values from the calculation:
magnetic moment	0.00	μB/cell
symmetry	P4/mmm
calculated volume	35.57	A^3/atom
energy relative to the elements	0.01	eV per atom
theoretical density	6.68	Mg/m³
VASP energy	-4.85	eV per atom

Unit cell a=5.2191 b=5.2191 c=10.4472 alpha=90.00 beta=90.00 gamma=90.00
Atoms (fractional coordinates):
La1 0.0000 0.0000 0.0000
La2 0.0000 0.0000 0.5000
La3 0.0000 0.5000 0.2481
La4 0.0000 0.5000 0.7519
La5 0.5000 0.0000 0.2481
La6 0.5000 0.0000 0.7519
Nd1 0.5000 0.5000 0.5000
Er1 0.5000 0.5000 0.0000



La3Nd2Er4: optimized geometry, PBE-GGA.

Values from the calculation:
magnetic moment	0.00	μB/cell
symmetry	C2/c
calculated volume	33.67	A^3/atom
energy relative to the elements	0.10	eV per atom
energy above the most stable polymorph in this dataset	67	meV/atom
theoretical density	7.53	Mg/m³
VASP energy	-4.63	eV per atom

Unit cell a=10.1949 b=10.1949 c=6.2067 alpha=96.31 beta=96.31 gamma=71.46
Atoms (fractional coordinates):
La1 0.1229 0.8771 0.7500
La2 0.1973 0.4804 0.9058
La3 0.4804 0.1973 0.4058
La4 0.5196 0.8027 0.5942
La5 0.8027 0.5196 0.0942
La6 0.8771 0.1229 0.2500
Nd1 0.0188 0.7514 0.2086
Nd2 0.2486 0.9812 0.2914
Nd3 0.7514 0.0188 0.7086
Nd4 0.9812 0.2486 0.7914
Er1 0.1124 0.3470 0.3596
Er2 0.3276 0.5595 0.4596
Er3 0.3470 0.1124 0.8596
Er4 0.4405 0.6724 0.0404
Er5 0.5595 0.3276 0.9596
Er6 0.6530 0.8876 0.1404
Er7 0.6724 0.4405 0.5404
Er8 0.8876 0.6530 0.6404



LaNd3Er3: optimized geometry, PBE-GGA.

Values from the calculation:
magnetic moment	0.00	μB/cell
symmetry	R-3
calculated volume	34.34	A^3/atom
energy relative to the elements	0.13	eV per atom
energy above the most stable polymorph in this dataset	104	meV/atom
theoretical density	7.42	Mg/m³
VASP energy	-4.57	eV per atom

Unit cell a=8.2830 b=8.2830 c=8.2830 alpha=69.39 beta=69.39 gamma=69.39
Atoms (fractional coordinates):
La1 0.0901 0.0901 0.0901
La2 0.9099 0.9099 0.9099
Nd1 0.2317 0.6621 0.3754
Nd2 0.3379 0.6246 0.7683
Nd3 0.3754 0.2317 0.6621
Nd4 0.6246 0.7683 0.3379
Nd5 0.6621 0.3754 0.2317
Nd6 0.7683 0.3379 0.6246
Er1 0.0529 0.4749 0.1922
Er2 0.1922 0.0529 0.4749
Er3 0.4749 0.1922 0.0529
Er4 0.5251 0.8078 0.9471
Er5 0.8078 0.9471 0.5251
Er6 0.9471 0.5251 0.8078